# 1
# SiNi2P GGA-PBEsol optimized geometry
# E_tot: -207.94 eV per cell
# size of the total moment: 0.001 Bohr magnetons per cell
# energy above the lowest structure with this stoichiometry: 0.00 eV/f.u.
# formation energy (no corrections): -0.535 eV per atom
data_SiNi2P
_chemical_formula_sum 'Si8 Ni16 P8'
_space_group_name_H-M_alt 'P b c a'
_space_group_IT_number 61
_cell_length_a 4.904
_cell_length_b 13.627
_cell_length_c 5.793
_cell_angle_alpha 90.00
_cell_angle_beta 90.00
_cell_angle_gamma 90.00
loop_
_space_group_symop_operation_xyz
'x,y,z'
'-x,-y,-z'
'-x+1/2,-y,z+1/2'
'x+1/2,y,-z+1/2'
'x+1/2,-y+1/2,-z'
'-x+1/2,y+1/2,z'
'-x,y+1/2,-z+1/2'
'x,-y+1/2,z+1/2'
loop_
_atom_site_label
_atom_site_fract_x
_atom_site_fract_y
_atom_site_fract_z
_atom_site_occupancy
Si1 0.183 0.059 0.081 1
Ni1 0.013 0.066 0.698 1
Ni2 0.013 0.678 0.199 1
P1 0.184 0.682 0.564 1



# 2
# Si2Ni7P5 GGA-PBEsol optimized geometry
# E_tot: -362.52 eV per cell
# size of the total moment: 0.000 Bohr magnetons per cell
# formation energy (no corrections): -0.506 eV per atom
data_Si2Ni7P5
_chemical_formula_sum 'Si8 Ni28 P20'
_space_group_name_H-M_alt 'P b c n'
_space_group_IT_number 60
_cell_length_a 23.771
_cell_length_b 5.853
_cell_length_c 4.841
_cell_angle_alpha 90.00
_cell_angle_beta 90.00
_cell_angle_gamma 90.00
loop_
_space_group_symop_operation_xyz
'x,y,z'
'-x,-y,-z'
'-x+1/2,-y+1/2,z+1/2'
'x+1/2,y+1/2,-z+1/2'
'x+1/2,-y+1/2,-z'
'-x+1/2,y+1/2,z'
'-x,y,-z+1/2'
'x,-y,z+1/2'
loop_
_atom_site_label
_atom_site_fract_x
_atom_site_fract_y
_atom_site_fract_z
_atom_site_occupancy
Si1 0.217 0.156 0.224 1
Ni1 0.000 0.000 0.000 1
Ni2 0.074 0.456 0.501 1
Ni3 0.139 0.051 0.494 1
Ni4 0.206 0.469 0.501 1
P1 0.000 0.333 0.750 1
P2 0.072 0.176 0.191 1
P3 0.142 0.316 0.812 1



# 3
# Ni10SnP3 GGA-PBEsol optimized geometry
# E_tot: -270.28 eV per cell
# size of the total moment: 0.000 Bohr magnetons per cell
# energy relative to the elements: -491.8 meV/atom
data_Ni10SnP3
_chemical_formula_sum 'Ni30 Sn3 P9'
_space_group_name_H-M_alt 'P -3 m 1'
_space_group_IT_number 164
_space_group_name_Hall '-P 3 2"'
_cell_length_a 7.5818
_cell_length_b 7.5818
_cell_length_c 9.4816
_cell_angle_alpha 90.00
_cell_angle_beta 90.00
_cell_angle_gamma 120.00
loop_
_atom_site_label
_atom_site_fract_x
_atom_site_fract_y
_atom_site_fract_z
_atom_site_occupancy
Ni1 0.0000 0.0000 0.1198 1
Ni2 0.0000 0.3382 0.0000 1
Ni3 0.0179 0.5089 0.7406 1
Ni4 0.1381 0.2762 0.3013 1
Ni5 0.1890 0.3780 0.5727 1
Ni6 0.3333 0.6667 0.4040 1
Ni7 0.3333 0.6667 0.8835 1
Sn1 0.0000 0.0000 0.5000 1
Sn2 0.3333 0.6667 0.1390 1
P1 0.0000 0.5000 0.5000 1
P2 0.1643 0.3287 0.8090 1



# 4
# TcNiSnP2 GGA-PBEsol optimized geometry
# E_tot: -29.82 eV per cell
# size of the total moment: 1.601 Bohr magnetons per cell
# energy relative to the elements: 689.1 meV/atom
data_TcNiSnP2
_chemical_formula_sum 'Tc1 Ni1 Sn1 P2'
_space_group_name_H-M_alt 'P 4/m m m'
_space_group_IT_number 123
_space_group_name_Hall '-P 4 2'
_cell_length_a 4.153
_cell_length_b 4.153
_cell_length_c 5.009
_cell_angle_alpha 90.00
_cell_angle_beta 90.00
_cell_angle_gamma 90.00
loop_
_atom_site_label
_atom_site_fract_x
_atom_site_fract_y
_atom_site_fract_z
_atom_site_occupancy
Tc1 0.000 0.000 0.000 1
Ni1 0.000 0.000 0.500 1
Sn1 0.500 0.500 0.000 1
P1 0.000 0.500 0.500 1



# 5
# Sr2Ni2P GGA-PBEsol optimized geometry
# E_tot: -96.31 eV per cell
# size of the total moment: 0.000 Bohr magnetons per cell
# energy relative to the elements: -458.2 meV/atom
data_Sr2Ni2P
_chemical_formula_sum 'Sr8 Ni8 P4'
_space_group_name_H-M_alt 'P n m a'
_space_group_IT_number 62
_cell_length_a 7.263
_cell_length_b 4.321
_cell_length_c 13.972
_cell_angle_alpha 90.00
_cell_angle_beta 90.00
_cell_angle_gamma 90.00
loop_
_space_group_symop_operation_xyz
'x,y,z'
'-x,-y,-z'
'-x+1/2,-y,z+1/2'
'x+1/2,y,-z+1/2'
'x+1/2,-y+1/2,-z+1/2'
'-x+1/2,y+1/2,z+1/2'
'-x,y+1/2,-z'
'x,-y+1/2,z'
loop_
_atom_site_label
_atom_site_fract_x
_atom_site_fract_y
_atom_site_fract_z
_atom_site_occupancy
Sr1 0.173 0.250 0.170 1
Sr2 0.182 0.250 0.442 1
Ni1 0.034 0.250 0.957 1
Ni2 0.039 0.750 0.304 1
P1 0.158 0.250 0.812 1



# 6
# SrNi2P2 GGA-PBEsol optimized geometry
# E_tot: -179.62 eV per cell
# size of the total moment: 0.000 Bohr magnetons per cell
# energy relative to the elements: -839.8 meV/atom
data_SrNi2P2
_chemical_formula_sum 'Sr6 Ni12 P12'
_space_group_name_H-M_alt 'I m m m'
_space_group_IT_number 71
_space_group_name_Hall '-I 2 2'
_cell_length_a 3.900
_cell_length_b 10.331
_cell_length_c 11.729
_cell_angle_alpha 90.00
_cell_angle_beta 90.00
_cell_angle_gamma 90.00
loop_
_atom_site_label
_atom_site_fract_x
_atom_site_fract_y
_atom_site_fract_z
_atom_site_occupancy
Sr1 0.000 0.000 0.000 1
Sr2 0.000 0.000 0.315 1
Ni1 0.000 0.227 0.500 1
Ni2 0.000 0.262 0.155 1
P1 0.000 0.341 0.335 1
P2 0.000 0.385 0.000 1